VASP calculation (PBE) on a geometry-optimized CoTcH structure.

a b c (Å): 5.3245 5.3245 5.3245
angles (deg): 151.98 151.98 40.04
Closest atoms and distances in Å follow each position.
Element x y z (fractional)
Co: 0.0000 0.0000 0.0000  1 H 1.56
Tc: 0.6704 0.6704 0.0000  1 H 1.74
H: 0.8441 0.8441 0.0000  1 Co 1.56, 1 Tc 1.74

Mass density ... 7.9 g cm⁻³
VASP energy ... -0.4765 Ry per atom
E above lowest polymorph ... 409 meV/atom
Magnetization ... 0.0 Bohr magnetons per cell